This record from Alexandria via LeMat-Bulk describes a relaxed LiCa2CuAu6 crystal. The functional is PBE.

The structure belongs to space group P-1 (No. 2); the cell edges are 5.536, 6.626 and 6.770 Å and the angles 72.95°, 66.39° and 65.76°. The inequivalent atoms are Li at (0.000, 0.000, 0.000), Ca at (0.490, 0.756, 0.267), Cu at (0.000, 0.500, 0.500), Au at (0.001, 0.682, 0.815), Au at (0.162, 0.079, 0.590) and Au at (0.497, 0.314, 0.187).

The calculation puts the volume at 20.50 Å³ per atom. As for the density of states at the Fermi level: 0.34 states/eV/atom. The energy relative to the elements comes out at -440 meV per atom.